# 1
SiBrCl2 PBE relaxed; size of the total moment = 0.00 μB per formula unit; uncorrected formation energy = -0.4681 eV per atom; total DFT energy (no corrections) = -12.66 eV/f.u.
1.0
-3.6189 5.3164 -2.5008
-3.7493 3.1329 -4.8727
-6.9211 -0.2620 0.6215
Cl Si Br
2 1 1
direct
0.0012 0.0012 0.1089
0.1381 0.1381 0.3717
0.5024 0.5024 0.3703
0.8583 0.8583 0.6491

# 2
In2FeRh PBE relaxed; size of the total moment = 2.89 μB per formula unit; total DFT energy (no corrections) = -21.18 eV/f.u.
1.0
-3.7197 -3.1357 2.1734
1.5347 -4.8510 1.5825
1.2296 5.1439 0.6484
In Fe Rh
2 1 1
direct
0.9874 0.9874 0.0000
0.2577 0.7577 0.5000
0.7364 0.2364 0.5000
0.5186 0.5186 0.0000

# 3
ZnSiF3 PBE relaxed; size of the total moment = 0.00 μB per formula unit; uncorrected formation energy = -1.3065 eV per atom; total DFT energy (no corrections) = -18.84 eV/f.u.
1.0
-3.2797 -0.9076 -2.2750
-0.9319 -3.0537 2.5618
-2.2652 2.5705 2.2400
Zn Si F
1 1 3
direct
0.0000 0.0000 0.0000
0.5000 0.5000 0.5000
0.0000 0.0000 0.5000
0.0000 0.5000 0.0000
0.5000 0.0000 0.0000

# 4
Ac2Pr2Zn PBE relaxed; size of the total moment = 0.00 μB per formula unit; total DFT energy (no corrections) = -19.50 eV/f.u.
1.0
-2.9127 2.0907 1.4863
-1.0567 -3.0271 2.1873
9.1262 4.2469 6.8432
Zn Ac Pr
1 2 2
direct
0.0000 0.0000 0.0000
0.5820 0.5820 0.1640
0.4180 0.4180 0.8360
0.8015 0.8015 0.6030
0.1985 0.1985 0.3970

# 5
CaCdOs PBE relaxed; size of the total moment = 0.00 μB per formula unit; total DFT energy (no corrections) = -12.70 eV/f.u.
1.0
7.1772 0.0025 -0.0027
6.5595 2.9128 -0.0051
0.6177 0.1332 2.9072
Cd Ca Os
1 1 1
direct
0.3183 0.3182 0.6817
0.0122 0.0122 0.9878
0.6695 0.6696 0.3305

# 6
ThScSb PBE relaxed; size of the total moment = 0.23 μB per formula unit; uncorrected formation energy = -0.7162 eV per atom; total DFT energy (no corrections) = -20.02 eV/f.u.
1.0
4.3841 0.0000 0.0000
0.0000 4.3841 0.0000
0.0000 0.0000 8.5205
Sc Th Sb
2 2 2
direct
0.5000 0.5000 0.5000
0.0000 0.0000 0.5000
0.0000 0.5000 0.8563
0.5000 0.0000 0.1437
0.0000 0.5000 0.2505
0.5000 0.0000 0.7495

# 7
TbLu2Ir PBE relaxed; size of the total moment = 0.00 μB per formula unit; total DFT energy (no corrections) = -24.48 eV/f.u.
1.0
3.4019 0.0000 0.0000
0.0000 3.4019 0.0000
0.0000 0.0000 8.7072
Lu Tb Ir
2 1 1
direct
0.0000 0.0000 0.8142
0.0000 0.0000 0.1858
0.5000 0.5000 0.5000
0.5000 0.5000 0.0000

Question: Among the records above, which one has the highest size of the total moment?
Answer: In2FeRh